Computed, not measured: CsScTl after structural relaxation at the PBE level of DFT.

```
CsScTl
1.0
-1.182 -0.272 -3.468
-5.453 -3.815 0.276
-6.630 7.254 -0.132
Cs Sc Tl
2 2 2
direct
0.827 0.509 0.351
0.157 0.030 0.118
0.240 0.287 0.742
0.964 0.839 0.739
0.484 0.020 0.506
0.537 0.531 0.917
```

ΔH_f (0 K), eV per atom: 0.14
Space group: P1, No. 1

---

Computed, not measured: Ce2Pm2AlSi4 after structural relaxation at the PBE level of DFT.

```
Ce2Pm2AlSi4
1.0
-2.104 -2.222 5.785
2.973 -4.469 -3.743
4.795 4.440 0.341
Ce Pm Al Si
2 2 1 4
direct
0.000 0.670 0.670
0.000 0.330 0.330
0.500 0.750 0.250
0.500 0.250 0.750
0.000 0.000 0.000
0.000 0.756 0.244
0.511 0.756 0.756
0.000 0.244 0.756
0.489 0.244 0.244
```

Space group: I4/mmm, No. 139
Energy relative to the elements, uncorrected, kJ/mol of atoms: -16.2

---

Computed, not measured: PuMgPb after structural relaxation at the PBE level of DFT.

```
PuMgPb
1.0
-0.001 -3.440 0.841
5.073 0.137 0.566
-3.041 0.975 3.984
Pb Mg Pu
1 1 1
direct
0.166 0.000 0.000
0.167 0.667 0.333
0.667 0.333 0.667
```

ΔH_f (0 K), eV per atom: -0.08
Space group: P-6m2, No. 187

---

Computed, not measured: Sm4IrPd2 after structural relaxation at the PBE level of DFT.

```
Sm4IrPd2
1.0
7.639 -0.990 -0.147
-1.539 7.550 0.149
-2.939 -3.377 6.268
Sm Ir Pd
8 2 4
direct
0.883 0.249 0.249
0.251 0.502 0.135
0.999 0.634 0.751
0.752 0.001 0.635
0.366 0.116 0.366
0.366 0.115 0.866
0.499 0.633 0.749
0.884 0.749 0.251
0.250 0.750 0.500
0.000 0.000 0.000
0.744 0.375 0.869
0.506 0.875 0.131
0.625 0.494 0.369
0.125 0.256 0.630
```

ΔH_f (0 K), eV per atom: -0.70
Space group: Cc, No. 9

---

Computed, not measured: SmSc3Cu2 after structural relaxation at the PBE level of DFT.

```
SmSc3Cu2
1.0
-0.716 -0.419 -3.378
6.873 -4.527 -0.896
-4.723 -7.554 1.939
Sm Sc Cu
2 6 4
direct
0.500 0.515 0.584
0.500 0.015 0.416
0.000 0.487 0.928
0.000 0.987 0.072
0.500 0.657 0.198
0.500 0.157 0.802
0.000 0.341 0.281
0.000 0.841 0.719
0.500 0.771 0.925
0.500 0.271 0.075
0.000 0.228 0.589
0.000 0.728 0.411
```

ΔH_f (0 K), eV per atom: -0.11
Space group: Pmc2_1, No. 26

---

Computed, not measured: K2BeTeO4 after structural relaxation at the PBE level of DFT.

```
K2BeTeO4
1.0
-4.749 1.564 -1.152
-1.238 -0.012 -6.337
-5.864 -9.295 0.125
K Be Te O
4 2 2 8
direct
0.181 0.000 0.638
0.819 0.000 0.362
0.569 0.500 0.862
0.931 0.500 0.138
0.250 0.500 0.500
0.500 0.000 0.000
0.750 0.500 0.500
0.000 0.000 0.000
0.345 0.826 0.081
0.253 0.174 0.919
0.828 0.826 0.919
0.573 0.174 0.081
0.405 0.674 0.419
0.497 0.326 0.581
0.922 0.674 0.581
0.177 0.326 0.419
```

Space group: Fddd, No. 70
Energy relative to the elements, uncorrected, kJ/mol of atoms: -131.1

---

| no. | M_tot (μB/cell) |
| --- | --- |
| 1 | 0.00 |
| 2 | 0.81 |
| 3 | 6.29 |
| 4 | 0.00 |
| 5 | 1.44 |
| 6 | 0.00 |